Below is MnP4 after structural relaxation, with properties calculated at the GGA-PBE level.

Results
ΔH_f (0 K) (meV/atom): -305
Total moment (μB/cell): 5.394
Space-group type: P2_1/c
Fermi-level density of states (states/eV/atom): 0.43

```
30
Lattice="4.784 0.000 0.000 0.000 13.651 0.000 -1.460 0.000 6.844" Properties=species:S:1:pos:R:3 pbc="T T T"
Mn 0.000 0.000 0.000
Mn -0.730 6.825 3.422
Mn 0.097 2.256 2.476
Mn -0.633 4.569 5.898
Mn 3.957 9.081 0.947
Mn 3.227 11.395 4.369
P -0.913 9.901 6.029
P -0.184 10.575 2.607
P 0.641 7.530 1.719
P -0.089 12.945 5.141
P 0.227 8.381 4.833
P 0.957 12.095 1.410
P 1.514 1.485 0.917
P 0.785 5.340 4.339
P 0.950 0.773 3.863
P 1.679 6.053 0.441
P 0.960 3.021 6.504
P 1.690 3.804 3.082
P 1.634 9.847 3.762
P 2.364 10.629 0.340
P 1.645 7.598 6.404
P 2.375 12.878 2.981
P 2.540 8.310 2.505
P 1.810 12.166 5.927
P 2.367 1.556 5.434
P 3.097 5.270 2.012
P 3.413 0.705 1.703
P 2.683 6.120 5.125
P 3.508 3.076 4.237
P 4.238 3.749 0.815
```

---

Below is MgCdAg2F6 after structural relaxation, with properties calculated at the GGA-PBE level.

Results
Total moment (μB/cell): 0.370
Space-group type: P2_1/c
ΔE_f (raw) (eV per formula unit): -21.01

```
20
Lattice="5.775 0.000 0.000 0.000 5.907 0.000 -5.737 0.000 8.258" Properties=species:S:1:pos:R:3 pbc="T T T"
Mg 0.000 0.000 0.000
Mg -2.869 2.953 4.129
Cd 0.019 0.000 4.129
Cd 2.888 2.953 0.000
Ag -2.940 0.301 6.199
Ag -0.072 2.653 2.070
Ag 0.110 3.254 6.188
Ag 2.979 5.606 2.059
F -1.772 1.319 3.667
F -4.640 1.634 7.796
F -1.276 4.111 3.684
F -4.145 4.749 7.813
F 0.614 0.190 1.929
F -2.255 2.764 6.058
F 2.293 3.143 2.200
F -0.576 5.717 6.329
F 4.183 1.158 0.445
F 1.315 1.796 4.574
F 4.678 4.273 0.462
F 1.810 4.587 4.591
```

---

Below is Rb2Ge4Pt5 after structural relaxation, with properties calculated at the GGA-PBE level.

Results
ΔH_f (0 K) (meV/atom): -410
E above lowest polymorph (meV/atom): 26.7
Total moment (μB/cell): 0.000
Space-group type: Fmmm
Fermi-level density of states (states/eV/atom): 0.33

```
11
Lattice="0.000 6.036 7.006 2.893 0.000 7.006 2.893 6.036 0.000" Properties=species:S:1:pos:R:3 pbc="T T T"
Rb 2.893 6.036 1.904
Rb 2.893 6.036 12.109
Ge 2.893 4.130 5.264
Ge 2.893 4.130 8.748
Ge 2.893 7.941 5.264
Ge 2.893 7.941 8.748
Pt 1.447 3.018 0.000
Pt 1.447 3.018 3.503
Pt 1.447 3.018 7.006
Pt 2.893 6.036 7.006
Pt 4.340 9.054 10.509
```

---

Below is Cs2Dy2USe6 after structural relaxation, with properties calculated at the GGA-PBE level.

Results
Total moment (μB/cell): 2.000
Space-group type: C2/m
ΔE_f (raw) (eV per formula unit): -17.58
Fermi-level density of states (states/eV/atom): 0.67

```
11
Lattice="3.634 -6.290 0.000 3.634 6.290 0.000 -2.470 0.000 8.583" Properties=species:S:1:pos:R:3 pbc="T T T"
Cs 3.634 4.174 0.000
Cs 3.634 -4.174 0.000
Dy 2.399 2.098 4.292
Dy 2.399 -2.098 4.292
U -1.235 0.000 4.292
Se -0.038 2.071 5.853
Se 1.159 0.000 2.734
Se -0.038 -2.071 5.853
Se 4.836 2.071 2.730
Se 3.639 0.000 5.849
Se 4.836 -2.071 2.730
```

---

Below is CoSbCl2 after structural relaxation, with properties calculated at the GGA-PBE level.

Results
E above lowest polymorph (meV/atom): 0.0
Total moment (μB/cell): 0.000
Space-group type: Pm
ΔE_f (raw) (eV per formula unit): -1.03
Fermi-level density of states (states/eV/atom): 0.70

```
4
Lattice="4.208 0.000 0.000 0.000 3.704 0.000 -2.093 0.000 6.835" Properties=species:S:1:pos:R:3 pbc="T T T"
Co 0.000 0.000 0.000
Sb 0.003 1.852 1.562
Cl 0.011 0.000 6.160
Cl 2.109 1.852 3.189
```

---

Below is K2TaAu2 after structural relaxation, with properties calculated at the GGA-PBE level.

Results
ΔH_f (0 K) (meV/atom): 847
E above lowest polymorph (meV/atom): 461.4
Total moment (μB/cell): 1.224
Space-group type: I4/mmm
Fermi-level density of states (states/eV/atom): 0.81

```
5
Lattice="-1.953 1.953 7.762 1.953 -1.953 7.762 1.953 1.953 -7.762" Properties=species:S:1:pos:R:3 pbc="T T T"
K 1.953 0.000 3.881
K 0.000 1.953 3.881
Ta 0.000 0.000 0.000
Au 0.000 0.000 6.436
Au 0.000 0.000 9.089
```

---

Below is Hf6MgIr5 after structural relaxation, with properties calculated at the GGA-PBE level.

Results
ΔH_f (0 K) (meV/atom): -766
Total moment (μB/cell): 0.000
Space-group type: Immm
Fermi-level density of states (states/eV/atom): 0.61

```
12
Lattice="-2.305 3.271 7.235 2.305 -3.271 7.235 2.305 3.271 -7.235" Properties=species:S:1:pos:R:3 pbc="T T T"
Hf 2.305 1.635 -2.478
Hf 0.000 1.552 0.000
Hf 2.305 1.635 2.478
Hf 0.000 1.636 4.757
Hf 0.000 4.989 0.000
Hf 0.000 1.636 9.713
Mg 0.000 0.000 7.235
Ir 2.305 0.000 0.000
Ir 0.000 0.000 2.474
Ir 2.305 0.000 5.207
Ir 0.000 3.271 2.028
Ir 0.000 0.000 11.997
```

---

Below is YInPd after structural relaxation, with properties calculated at the GGA-PBE level.

Results
ΔH_f (0 K) (meV/atom): -655
Total moment (μB/cell): 0.000
Space-group type: F-43m
Fermi-level density of states (states/eV/atom): 1.27

```
3
Lattice="0.000 3.343 3.343 3.343 0.000 3.343 3.343 3.343 0.000" Properties=species:S:1:pos:R:3 pbc="T T T"
Y 0.000 0.000 0.000
In 3.343 3.343 3.343
Pd 1.671 1.671 1.671
```

---

Q: What is the total moment in the seventh record?
A: 0.000 μB/cell